Here is a geometry-optimized ZnCrTc2 structure from Alexandria via LeMat-Bulk. Energies are from GGA-PBE.

Values from the calculation:
The space group is I-4m2, No. 119. The total energy is -30.877 eV per formula unit.

Cell lengths 4.7352, 4.7352, 4.7352 Å; angles 133.36, 133.36, 68.09 degrees
Last column: nearest neighbours and their distance in Å.
Atoms (fractional coordinates):
Cr (0.7500, 0.2500, 0.5000)  8 Tc 2.65-2.71, 4 Zn 2.71
Tc (0.0000, 0.0000, 0.0000)  4 Zn 2.65, 4 Cr 2.71, 4 Tc 2.71
Tc (0.2500, 0.7500, 0.5000)  4 Cr 2.65, 4 Zn 2.71, 4 Tc 2.71
Zn (0.5000, 0.5000, 0.0000)  8 Tc 2.65-2.71, 4 Cr 2.71